# 1
A geometry-optimized LiTcAu2 structure. Source: Alexandria, functional GGA-PBE.

Unit cell a=5.7139 b=5.7139 c=5.7139 alpha=152.41 beta=129.60 gamma=58.42
With the nearest neighbours (Å) after each atom.
Atoms (fractional coordinates):
Au 0.7447 0.2447 0.5000  4 Au 2.72-2.92, 2 Li 2.73, 4 Tc 2.79
Li 0.5071 0.5071 0.0000  2 Li 2.72, 6 Au 2.73-2.79, 2 Tc 2.95
Tc 0.2448 0.7448 0.5000  2 Tc 2.72, 6 Au 2.77-2.79, 2 Li 2.95
Au 0.0034 0.0034 0.0000  4 Au 2.72-2.92, 2 Tc 2.77, 4 Li 2.79

Results
E_form = 0.135 eV per atom
E = -4.574 eV/atom
density of states at the Fermi level = 1.9 states/eV per cell

***

# 2
A geometry-optimized CePO4 structure. Source: Alexandria, functional GGA-PBE.

Unit cell a=7.1871 b=7.1871 c=6.4845 alpha=90.00 beta=90.00 gamma=120.00
With the nearest neighbours (Å) after each atom.
Atoms (fractional coordinates):
O 0.8627 0.5538 0.3133  1 P 1.55
P 0.5000 0.0000 0.5000  4 O 1.55
O 0.1373 0.4462 0.3133  1 P 1.55
Ce 0.5000 0.0000 0.0000  8 O 2.44-2.60
P 0.0000 0.5000 0.1667  4 O 1.55
Ce 0.0000 0.5000 0.6667  8 O 2.44-2.60
O 0.3089 0.8627 0.6467  1 P 1.55
O 0.3089 0.4462 0.6867  1 P 1.55
O 0.6911 0.1373 0.6467  1 P 1.55
O 0.5538 0.8627 0.3533  1 P 1.55
O 0.6911 0.5538 0.6867  1 P 1.55
O 0.8627 0.3089 0.0200  1 P 1.55
O 0.4462 0.3089 0.9800  1 P 1.55
O 0.4462 0.1373 0.3533  1 P 1.55
O 0.5538 0.6911 0.9800  1 P 1.55
P 0.5000 0.5000 0.8333  4 O 1.55
O 0.1373 0.6911 0.0200  1 P 1.55
Ce 0.5000 0.5000 0.3333  8 O 2.44-2.60

Results
E = -8.118 eV/atom
formation energy without anion corrections = -2921 meV/atom
density of states at the Fermi level = 14.8 states/eV per cell